1.
DFT (GGA-PBE) results for a relaxed structure of BiRhF2.

Cell: 6.214 6.214 6.214 Å, 90.00 90.00 90.00°
Fractional positions:
Bi1 0.000 0.000 0.000
Bi2 0.000 0.500 0.500
Bi3 0.500 0.000 0.500
Bi4 0.500 0.500 0.000
Rh1 0.000 0.000 0.500
Rh2 0.000 0.500 0.000
Rh3 0.500 0.000 0.000
Rh4 0.500 0.500 0.500
F1 0.250 0.250 0.250
F2 0.250 0.250 0.750
F3 0.250 0.750 0.250
F4 0.250 0.750 0.750
F5 0.750 0.250 0.250
F6 0.750 0.250 0.750
F7 0.750 0.750 0.250
F8 0.750 0.750 0.750

Results
spin magnetization: 0.2 μB/cell
formation energy (no corrections): -236 kJ/mol of formula units
theoretical density: 9.684 g cm⁻³
N(E_F): 10.128 states/eV/cell
uncorrected energy: -4.355 eV/atom

---

2.
DFT (GGA-PBE) results for a relaxed structure of Pr7Er2Tl2.

Cell: 11.643 11.643 11.643 Å, 161.63 54.35 129.33°
Fractional positions:
Pr1 0.000 0.000 0.000
Pr2 0.315 0.654 0.661
Pr3 0.326 0.456 0.871
Pr4 0.585 0.456 0.129
Pr5 0.651 0.282 0.369
Pr6 0.913 0.282 0.631
Pr7 0.992 0.654 0.339
Er1 0.325 0.825 0.500
Er2 0.646 0.646 0.000
Tl1 0.179 0.936 0.243
Tl2 0.693 0.936 0.757

Results
spin magnetization: 0.0 μB/cell
energy relative to the elements: -29 meV per atom
theoretical density: 7.489 g cm⁻³
N(E_F): 16.352 states/eV/cell
uncorrected energy: -4.330 eV/atom

---

3.
DFT (GGA-PBE) results for a relaxed structure of SrB2Ru.

Cell: 6.093 6.093 6.093 Å, 90.00 90.00 90.00°
Fractional positions:
Sr1 0.000 0.000 0.000
Sr2 0.000 0.500 0.500
Sr3 0.500 0.000 0.500
Sr4 0.500 0.500 0.000
B1 0.250 0.250 0.250
B2 0.250 0.250 0.750
B3 0.250 0.750 0.250
B4 0.250 0.750 0.750
B5 0.750 0.250 0.250
B6 0.750 0.250 0.750
B7 0.750 0.750 0.250
B8 0.750 0.750 0.750
Ru1 0.000 0.000 0.500
Ru2 0.000 0.500 0.000
Ru3 0.500 0.000 0.000
Ru4 0.500 0.500 0.500

Results
spin magnetization: 0.0 μB/cell
energy relative to the elements: 1116 meV per atom
theoretical density: 6.176 g cm⁻³
N(E_F): 18.758 states/eV/cell
uncorrected energy: -4.962 eV/atom

---

4.
DFT (GGA-PBE) results for a relaxed structure of SmMgZn2Ag2.

Cell: 4.577 4.577 6.700 Å, 90.00 90.00 120.00°
Fractional positions:
Sm1 0.000 0.000 0.000
Mg1 0.000 0.000 0.500
Zn1 0.333 0.667 0.727
Zn2 0.667 0.333 0.273
Ag1 0.333 0.667 0.291
Ag2 0.667 0.333 0.709

Results
spin magnetization: 0.0 μB/cell
energy relative to the elements: -247 meV per atom
theoretical density: 7.120 g cm⁻³
N(E_F): 5.122 states/eV/cell
uncorrected energy: -2.675 eV/atom

---

5.
DFT (GGA-PBE) results for a relaxed structure of Sr2LiHRh.

Cell: 5.112 5.112 4.038 Å, 90.00 90.00 90.00°
Fractional positions:
Sr1 0.000 0.500 0.000
Sr2 0.500 0.000 0.000
Li1 0.000 0.000 0.500
H1 0.000 0.000 0.000
Rh1 0.500 0.500 0.500

Results
spin magnetization: 0.0 μB/cell
theoretical density: 4.502 g cm⁻³
N(E_F): 3.503 states/eV/cell
uncorrected energy: -3.384 eV/atom

---

6.
DFT (GGA-PBE) results for a relaxed structure of KCo2Os.

Cell: 2.780 2.780 8.498 Å, 90.00 90.00 90.00°
Fractional positions:
K1 0.000 0.000 0.000
Co1 0.500 0.500 0.318
Co2 0.500 0.500 0.682
Os1 0.000 0.000 0.500

Results
spin magnetization: 0.0 μB/cell
energy relative to the elements: 730 meV per atom
theoretical density: 8.780 g cm⁻³
N(E_F): 5.205 states/eV/cell
uncorrected energy: -5.905 eV/atom

---

7.
DFT (GGA-PBE) results for a relaxed structure of Gd3CdB.

Cell: 5.111 5.111 5.111 Å, 90.00 90.00 90.00°
Fractional positions:
Gd1 0.000 0.000 0.500
Gd2 0.000 0.500 0.000
Gd3 0.500 0.000 0.000
Cd1 0.500 0.500 0.500
B1 0.000 0.000 0.000

Results
spin magnetization: 22.9 μB/cell
energy relative to the elements: -122 meV per atom
theoretical density: 7.400 g cm⁻³
N(E_F): 4.639 states/eV/cell
uncorrected energy: -10.089 eV/atom

---

8.
DFT (GGA-PBE) results for a relaxed structure of DyErPdRh.

Cell: 3.444 3.444 6.927 Å, 90.00 90.00 90.00°
Fractional positions:
Dy1 0.000 0.000 0.000
Er1 0.000 0.000 0.482
Pd1 0.500 0.500 0.737
Rh1 0.500 0.500 0.244

Results
spin magnetization: 0.0 μB/cell
energy relative to the elements: -921 meV per atom
theoretical density: 10.894 g cm⁻³
N(E_F): 1.759 states/eV/cell
uncorrected energy: -6.349 eV/atom

---

9.
DFT (GGA-PBE) results for a relaxed structure of KCdW2.

Cell: 2.739 2.739 10.936 Å, 90.00 90.00 90.00°
Fractional positions:
K1 0.000 0.000 0.000
Cd1 0.000 0.000 0.500
W1 0.500 0.500 0.284
W2 0.500 0.500 0.716

Results
spin magnetization: 0.0 μB/cell
energy relative to the elements: 1201 meV per atom
theoretical density: 10.510 g cm⁻³
N(E_F): 4.635 states/eV/cell
uncorrected energy: -5.779 eV/atom

---

10.
DFT (GGA-PBE) results for a relaxed structure of MnTl2Mo.

Cell: 3.501 4.895 9.202 Å, 90.00 90.00 90.00°
Fractional positions:
Mn1 0.000 0.000 0.000
Mn2 0.500 0.500 0.000
Tl1 0.000 0.500 0.246
Tl2 0.000 0.500 0.754
Tl3 0.500 0.000 0.246
Tl4 0.500 0.000 0.754
Mo1 0.000 0.000 0.500
Mo2 0.500 0.500 0.500

Results
spin magnetization: 7.2 μB/cell
energy relative to the elements: 745 meV per atom
theoretical density: 11.786 g cm⁻³
N(E_F): 5.493 states/eV/cell
uncorrected energy: -5.438 eV/atom

---

11.
DFT (GGA-PBE) results for a relaxed structure of SrRe2As.

Cell: 3.197 5.557 9.674 Å, 90.00 90.00 90.00°
Fractional positions:
Sr1 0.000 0.000 0.000
Sr2 0.500 0.500 0.500
Re1 0.000 0.000 0.492
Re2 0.000 0.500 0.180
Re3 0.500 0.000 0.680
Re4 0.500 0.500 0.992
As1 0.000 0.500 0.776
As2 0.500 0.000 0.276

Results
spin magnetization: 0.0 μB/cell
energy relative to the elements: 671 meV per atom
theoretical density: 10.335 g cm⁻³
N(E_F): 7.877 states/eV/cell
uncorrected energy: -7.136 eV/atom

---

12.
DFT (GGA-PBE) results for a relaxed structure of BaScPaN3.

Cell: 7.371 3.488 9.945 Å, 90.00 94.09 90.00°
Fractional positions:
Ba1 0.146 0.250 0.217
Ba2 0.854 0.750 0.783
Sc1 0.152 0.250 0.560
Sc2 0.848 0.750 0.440
Pa1 0.365 0.750 0.869
Pa2 0.635 0.250 0.131
N1 0.135 0.750 0.441
N2 0.207 0.250 0.780
N3 0.429 0.750 0.096
N4 0.571 0.250 0.904
N5 0.793 0.750 0.220
N6 0.865 0.250 0.559

Results
spin magnetization: 0.0 μB/cell
formation energy (no corrections): -715 kJ/mol of formula units
theoretical density: 5.929 g cm⁻³
N(E_F): 3.995 states/eV/cell
uncorrected energy: -8.357 eV/atom

---

- The highest spin magnetization belongs to which entry?
  Gd3CdB